(1)
VASP calculation (PBE-GGA) on crystalline NaAgAs2Se4 at its relaxed geometry.

Results
Energy (eV/atom): -3.6427
Uncorrected formation energy (eV per atom): -0.22

a = 6.4109 Å, b = 6.4109 Å, c = 7.0718 Å
α = 114.70°, β = 114.70°, γ = 94.48°
Last column: nearest neighbours and their distance in Å.
Positions (direct):
Na (0.0078, 0.0078, 0.0157)  4 Se 2.88
Ag (0.5028, 0.5028, 0.0057)  4 Se 2.69
As (0.7568, 0.2568, 0.5136)  4 Se 2.55-2.57
As (0.2568, 0.7568, 0.5136)  4 Se 2.55-2.57
Se (0.5876, 0.5876, 0.6991)  2 As 2.57, 1 Ag 2.69
Se (0.4020, 0.8749, 0.2769)  2 As 2.55, 1 Ag 2.69
Se (0.8749, 0.4020, 0.2769)  2 As 2.55, 1 Ag 2.69
Se (0.1115, 0.1115, 0.6991)  2 As 2.57, 1 Ag 2.69

***

(2)
VASP calculation (PBE-GGA) on crystalline Ti3Al3ReNi2 at its relaxed geometry.

Results
DFT formation energy (meV per atom): -359
Energy (eV/atom): -6.9061

a = 3.0247 Å, b = 7.2099 Å, c = 7.2099 Å
α = 120.00°, β = 90.00°, γ = 90.00°
Last column: nearest neighbours and their distance in Å.
Positions (direct):
Ti (0.5000, 0.7121, 0.0000)  2 Re 2.57, 2 Ni 2.58, 2 Al 2.84
Ti (0.5000, 0.0000, 0.7121)  2 Re 2.57, 2 Ni 2.58, 2 Al 2.84
Ti (0.5000, 0.2879, 0.2879)  2 Re 2.57, 2 Ni 2.58, 2 Al 2.84
Al (0.0000, 0.6221, 0.6221)  4 Ni 2.72, 1 Re 2.72, 6 Ti 2.84-2.89, 2 Al 3.02
Al (0.0000, 0.0000, 0.3779)  4 Ni 2.72, 1 Re 2.72, 6 Ti 2.84-2.89, 2 Al 3.02
Al (0.0000, 0.3779, 0.0000)  4 Ni 2.72, 1 Re 2.72, 6 Ti 2.84-2.89, 2 Al 3.02
Re (0.0000, 0.0000, 0.0000)  6 Ti 2.57, 3 Al 2.72
Ni (0.5000, 0.6667, 0.3333)  3 Ti 2.58, 6 Al 2.72
Ni (0.5000, 0.3333, 0.6667)  3 Ti 2.58, 6 Al 2.72

***

(3)
VASP calculation (PBE-GGA) on crystalline MnCr at its relaxed geometry.

Results
DFT formation energy (meV per atom): 208
Energy (eV/atom): -9.1884

a = 3.5488 Å, b = 3.5488 Å, c = 4.3777 Å
α = 66.09°, β = 66.09°, γ = 90.00°
Last column: nearest neighbours and their distance in Å.
Positions (direct):
Cr (0.0000, 0.0000, 0.0000)  8 Mn 2.51-2.52, 4 Cr 2.52
Cr (0.7500, 0.2500, 0.5000)  8 Mn 2.51-2.52, 4 Cr 2.52
Mn (0.2500, 0.7500, 0.5000)  8 Cr 2.51-2.52, 4 Mn 2.52
Mn (0.5000, 0.5000, 0.0000)  8 Cr 2.51-2.52, 4 Mn 2.52

***

(4)
VASP calculation (PBE-GGA) on crystalline VGaPt2C at its relaxed geometry.

Results
DFT formation energy (meV per atom): 1023
Energy (eV/atom): -5.6673

a = 4.7822 Å, b = 3.7989 Å, c = 4.7822 Å
α = 90.00°, β = 90.00°, γ = 90.00°
Last column: nearest neighbours and their distance in Å.
Positions (direct):
C (0.0000, 0.5000, 0.0000)  2 V 1.90
Ga (0.5000, 0.5000, 0.5000)  8 Pt 3.05, 4 C 3.38
Pt (0.0000, 0.0000, 0.5000)  2 V 2.39
Pt (0.5000, 0.0000, 0.0000)  2 V 2.39
V (0.0000, 0.0000, 0.0000)  2 C 1.90

***

(5)
VASP calculation (PBE-GGA) on crystalline La6Pm2ErTm at its relaxed geometry.

Results
DFT formation energy (meV per atom): 115
Energy (eV/atom): -4.6947

a = 9.2800 Å, b = 9.1091 Å, c = 9.1091 Å
α = 114.37°, β = 90.51°, γ = 90.51°
Last column: nearest neighbours and their distance in Å.
Positions (direct):
La (0.0902, 0.0747, 0.7765)  4 La 3.29-3.62, 2 Er 3.50-3.65, 1 Pm 3.59
La (0.4098, 0.2235, 0.9253)  4 La 3.29-3.62, 2 Er 3.50-3.65, 1 Pm 3.59
La (0.9098, 0.9253, 0.2235)  4 La 3.29-3.62, 2 Er 3.50-3.65, 1 Pm 3.59
La (0.5902, 0.7765, 0.0747)  4 La 3.29-3.62, 2 Er 3.50-3.65, 1 Pm 3.59
La (0.3194, 0.0285, 0.4645)  3 La 3.40-3.49, 1 Er 3.44, 1 Tm 3.44, 2 Pm 3.49-3.80
La (0.1806, 0.5355, 0.9715)  3 La 3.40-3.49, 1 Er 3.44, 1 Tm 3.44, 2 Pm 3.49-3.80
La (0.6806, 0.9715, 0.5355)  3 La 3.40-3.49, 1 Er 3.44, 1 Tm 3.44, 2 Pm 3.49-3.80
La (0.8194, 0.4645, 0.0285)  3 La 3.40-3.49, 1 Er 3.44, 1 Tm 3.44, 2 Pm 3.49-3.80
La (0.0961, 0.7176, 0.4310)  4 La 3.23-3.62, 1 Tm 3.47, 1 Pm 3.56
La (0.4039, 0.5690, 0.2824)  4 La 3.23-3.62, 1 Tm 3.47, 1 Pm 3.56
La (0.9039, 0.2824, 0.5690)  4 La 3.23-3.62, 1 Tm 3.47, 1 Pm 3.56
La (0.5961, 0.4310, 0.7176)  4 La 3.23-3.62, 1 Tm 3.47, 1 Pm 3.56
Pm (0.4373, 0.7950, 0.7061)  2 Er 3.46-3.79, 2 Tm 3.48-3.86, 6 La 3.49-3.80
Pm (0.0627, 0.2939, 0.2050)  2 Er 3.46-3.79, 2 Tm 3.48-3.86, 6 La 3.49-3.80
Pm (0.5627, 0.2050, 0.2939)  2 Er 3.46-3.79, 2 Tm 3.48-3.86, 6 La 3.49-3.80
Pm (0.9373, 0.7061, 0.7950)  2 Er 3.46-3.79, 2 Tm 3.48-3.86, 6 La 3.49-3.80
Er (0.2500, 0.9360, 0.0640)  6 La 3.44-3.65, 4 Pm 3.46-3.79
Er (0.7500, 0.0640, 0.9360)  6 La 3.44-3.65, 4 Pm 3.46-3.79
Tm (0.2500, 0.4299, 0.5701)  6 La 3.44-3.65, 2 Pm 3.48
Tm (0.7500, 0.5701, 0.4299)  6 La 3.44-3.65, 2 Pm 3.48

***

(6)
VASP calculation (PBE-GGA) on crystalline AgGeSe2 at its relaxed geometry.

Results
Energy (eV/atom): -3.6408
Uncorrected formation energy (eV per atom): -0.03

a = 3.8087 Å, b = 3.8087 Å, c = 7.3275 Å
α = 74.17°, β = 74.17°, γ = 59.59°
Last column: nearest neighbours and their distance in Å.
Positions (direct):
Ag (0.6682, 0.6682, 0.9966)  6 Se 2.77-2.82
Ge (0.4999, 0.4999, 0.5004)  6 Se 2.78-2.85
Se (0.0860, 0.0860, 0.7537)  3 Ag 2.77-2.78, 3 Ge 2.78-2.83
Se (0.2459, 0.2459, 0.2493)  3 Ge 2.78-2.85, 3 Ag 2.81-2.82

***

(7)
VASP calculation (PBE-GGA) on crystalline SbIr at its relaxed geometry.

Results
Energy (eV/atom): -6.3652
Uncorrected formation energy (eV per atom): 0.13

a = 7.9186 Å, b = 7.9186 Å, c = 7.9186 Å
α = 90.00°, β = 90.00°, γ = 90.00°
Last column: nearest neighbours and their distance in Å.
Positions (direct):
Sb (0.1905, 0.1905, 0.1905)  4 Ir 2.50-2.61
Sb (0.1905, 0.8095, 0.8095)  4 Ir 2.50-2.61
Sb (0.8095, 0.1905, 0.8095)  4 Ir 2.50-2.61
Sb (0.8095, 0.8095, 0.1905)  4 Ir 2.50-2.61
Sb (0.6905, 0.6905, 0.6905)  4 Ir 2.50-2.61
Sb (0.6905, 0.3095, 0.3095)  4 Ir 2.50-2.61
Sb (0.3095, 0.6905, 0.3095)  4 Ir 2.50-2.61
Sb (0.3095, 0.3095, 0.6905)  4 Ir 2.50-2.61
Ir (0.3726, 0.3726, 0.3726)  4 Sb 2.50-2.61
Ir (0.3726, 0.6274, 0.6274)  4 Sb 2.50-2.61
Ir (0.6274, 0.3726, 0.6274)  4 Sb 2.50-2.61
Ir (0.6274, 0.6274, 0.3726)  4 Sb 2.50-2.61
Ir (0.8726, 0.8726, 0.8726)  4 Sb 2.50-2.61
Ir (0.8726, 0.1274, 0.1274)  4 Sb 2.50-2.61
Ir (0.1274, 0.8726, 0.1274)  4 Sb 2.50-2.61
Ir (0.1274, 0.1274, 0.8726)  4 Sb 2.50-2.61

***

(8)
VASP calculation (PBE-GGA) on crystalline Hf2ZrTcN at its relaxed geometry.

Results
Energy (eV/atom): -10.1269
Uncorrected formation energy (eV per atom): -0.70

a = 4.3526 Å, b = 4.3526 Å, c = 4.5150 Å
α = 90.00°, β = 90.00°, γ = 90.00°
Last column: nearest neighbours and their distance in Å.
Positions (direct):
Hf (0.0000, 0.5000, 0.0000)  2 N 2.18
Hf (0.5000, 0.0000, 0.0000)  2 N 2.18
Tc (0.5000, 0.5000, 0.5000)  4 Zr 3.08, 8 Hf 3.14
Zr (0.0000, 0.0000, 0.5000)  2 N 2.26
N (0.0000, 0.0000, 0.0000)  4 Hf 2.18, 2 Zr 2.26

***

(9)
VASP calculation (PBE-GGA) on crystalline Tb2NdPuSb4 at its relaxed geometry.

Results
Energy (eV/atom): -6.6179
Uncorrected formation energy (eV per atom): -1.01

a = 4.4472 Å, b = 7.6842 Å, c = 7.6901 Å
α = 70.51°, β = 90.00°, γ = 90.00°
Last column: nearest neighbours and their distance in Å.
Positions (direct):
Tb (0.0000, 0.0000, 0.0000)  6 Sb 3.14
Tb (0.5000, 0.0000, 0.5000)  6 Sb 3.11
Nd (0.5000, 0.5000, 0.0000)  6 Sb 3.17
Pu (0.0000, 0.5000, 0.5000)  6 Sb 3.14
Sb (0.0000, 0.7553, 0.7447)  3 Tb 3.11-3.14, 1 Pu 3.14, 2 Nd 3.17
Sb (0.0000, 0.2447, 0.2553)  3 Tb 3.11-3.14, 1 Pu 3.14, 2 Nd 3.17
Sb (0.5000, 0.7528, 0.2525)  3 Tb 3.11-3.14, 2 Pu 3.14, 1 Nd 3.17
Sb (0.5000, 0.2472, 0.7475)  3 Tb 3.11-3.14, 2 Pu 3.14, 1 Nd 3.17

***

(10)
VASP calculation (PBE-GGA) on crystalline ZrNb4 at its relaxed geometry.

Results
DFT formation energy (meV per atom): 34
Energy above the most stable polymorph in this dataset (meV/atom): 0
Energy (eV/atom): -9.7311

a = 2.9358 Å, b = 4.6980 Å, c = 7.5375 Å
α = 107.29°, β = 105.38°, γ = 90.31°
Last column: nearest neighbours and their distance in Å.
Positions (direct):
Zr (0.0000, 0.0000, 0.0000)  2 Zr 2.94, 6 Nb 2.94-2.98
Nb (0.2284, 0.3967, 0.7923)  6 Nb 2.84-2.97, 2 Zr 2.94-2.98
Nb (0.7716, 0.6033, 0.2077)  6 Nb 2.84-2.97, 2 Zr 2.94-2.98
Nb (0.3910, 0.7965, 0.5935)  7 Nb 2.84-2.94, 1 Zr 2.97
Nb (0.6090, 0.2035, 0.4065)  7 Nb 2.84-2.94, 1 Zr 2.97

***

(11)
VASP calculation (PBE-GGA) on crystalline Ni3Sn2Bi2 at its relaxed geometry.

Results
DFT formation energy (meV per atom): -41
Energy (eV/atom): -4.7715

a = 4.0650 Å, b = 6.6957 Å, c = 5.5773 Å
α = 95.01°, β = 89.78°, γ = 107.40°
Last column: nearest neighbours and their distance in Å.
Positions (direct):
Ni (0.0000, 0.0000, 0.0000)  4 Sn 2.60-2.61, 2 Bi 2.64
Ni (0.7845, 0.5690, 0.1386)  2 Sn 2.63, 3 Ni 2.65-2.93, 3 Bi 2.74-2.82
Ni (0.2155, 0.4310, 0.8614)  2 Sn 2.63, 3 Ni 2.65-2.93, 3 Bi 2.74-2.82
Sn (0.5861, 0.1703, 0.7996)  4 Ni 2.60-2.63
Sn (0.4139, 0.8297, 0.2004)  4 Ni 2.60-2.63
Bi (0.8366, 0.6749, 0.6735)  4 Ni 2.64-2.82
Bi (0.1634, 0.3251, 0.3265)  4 Ni 2.64-2.82

***

(12)
VASP calculation (PBE-GGA) on crystalline NbMo3Se at its relaxed geometry.

Results
Energy above the most stable polymorph in this dataset (meV/atom): 0
Energy (eV/atom): -8.1770
Uncorrected formation energy (eV per atom): 1.03

a = 4.5714 Å, b = 4.5714 Å, c = 4.5714 Å
α = 90.00°, β = 90.00°, γ = 90.00°
Last column: nearest neighbours and their distance in Å.
Positions (direct):
Mo (0.0000, 0.5000, 0.0000)  2 Se 2.29
Mo (0.0000, 0.0000, 0.5000)  2 Se 2.29
Mo (0.5000, 0.0000, 0.0000)  2 Se 2.29
Nb (0.5000, 0.5000, 0.5000)  12 Mo 3.23
Se (0.0000, 0.0000, 0.0000)  6 Mo 2.29

***

(13)
VASP calculation (PBE-GGA) on crystalline Ca3LaAl at its relaxed geometry.

Results
DFT formation energy (meV per atom): 229
Energy above the most stable polymorph in this dataset (meV/atom): 0
Energy (eV/atom): -2.7058

a = 5.8486 Å, b = 5.8486 Å, c = 5.8486 Å
α = 90.00°, β = 90.00°, γ = 90.00°
Last column: nearest neighbours and their distance in Å.
Positions (direct):
Ca (0.0000, 0.5000, 0.0000)  2 Al 2.92
Ca (0.0000, 0.0000, 0.5000)  2 Al 2.92
Ca (0.5000, 0.0000, 0.0000)  2 Al 2.92
Al (0.0000, 0.0000, 0.0000)  6 Ca 2.92
La (0.5000, 0.5000, 0.5000)  12 Ca 4.14

***

(14)
VASP calculation (PBE-GGA) on crystalline Sr2YTc at its relaxed geometry.

Results
DFT formation energy (meV per atom): 675
Energy above the most stable polymorph in this dataset (meV/atom): 357
Energy (eV/atom): -4.3737

a = 11.4625 Å, b = 11.4625 Å, c = 8.4909 Å
α = 47.55°, β = 47.55°, γ = 90.00°
Last column: nearest neighbours and their distance in Å.
Positions (direct):
Y (0.5000, 0.5000, 0.0000)  2 Tc 2.53
Y (0.2500, 0.7500, 0.5000)  2 Tc 2.53
Sr (0.7777, 0.1250, 0.2500)  2 Tc 3.14
Sr (0.9723, 0.6250, 0.2500)  2 Tc 3.14
Sr (0.3750, 0.2223, 0.7500)  2 Tc 3.14
Sr (0.8750, 0.0277, 0.7500)  2 Tc 3.14
Tc (0.0000, 0.0000, 0.0000)  2 Y 2.53
Tc (0.7500, 0.2500, 0.5000)  2 Y 2.53

***

(15)
VASP calculation (PBE-GGA) on crystalline PmZrOsRu at its relaxed geometry.

Results
DFT formation energy (meV per atom): -218
Energy (eV/atom): -8.6687

a = 4.7824 Å, b = 4.7824 Å, c = 4.7824 Å
α = 60.00°, β = 60.00°, γ = 60.00°
Last column: nearest neighbours and their distance in Å.
Positions (direct):
Ru (0.7500, 0.7500, 0.7500)  4 Zr 2.93, 4 Pm 2.93
Os (0.2500, 0.2500, 0.2500)  4 Zr 2.93, 4 Pm 2.93
Zr (0.0000, 0.0000, 0.0000)  4 Ru 2.93, 4 Os 2.93
Pm (0.5000, 0.5000, 0.5000)  4 Os 2.93, 4 Ru 2.93

***

(16)
VASP calculation (PBE-GGA) on crystalline Be2CrCl at its relaxed geometry.

Results
Energy above the most stable polymorph in this dataset (meV/atom): 485
Energy (eV/atom): -4.0518
Uncorrected formation energy (eV per atom): 0.68

a = 4.6557 Å, b = 4.6557 Å, c = 4.6557 Å
α = 134.96°, β = 134.96°, γ = 65.59°
Last column: nearest neighbours and their distance in Å.
Positions (direct):
Cr (0.7500, 0.2500, 0.5000)  8 Be 2.52-2.65, 4 Cl 2.65
Be (0.0000, 0.0000, 0.0000)  4 Cl 2.52, 4 Cr 2.65, 4 Be 2.65
Be (0.2500, 0.7500, 0.5000)  4 Cr 2.52, 4 Cl 2.65, 4 Be 2.65
Cl (0.5000, 0.5000, 0.0000)  8 Be 2.52-2.65, 4 Cr 2.65

***

(17)
VASP calculation (PBE-GGA) on crystalline PmEr2Ni at its relaxed geometry.

Results
DFT formation energy (meV per atom): -103
Energy above the most stable polymorph in this dataset (meV/atom): 136
Energy (eV/atom): -5.0173

a = 3.6970 Å, b = 3.6970 Å, c = 9.5717 Å
α = 78.87°, β = 78.87°, γ = 60.00°
Last column: nearest neighbours and their distance in Å.
Positions (direct):
Ni (0.0000, 0.0000, 0.0000)  6 Er 2.69
Pm (0.5000, 0.5000, 0.5000)  6 Pm 3.70, 6 Er 3.70
Er (0.2748, 0.2748, 0.1756)  3 Ni 2.69
Er (0.7252, 0.7252, 0.8244)  3 Ni 2.69

***

(18)
VASP calculation (PBE-GGA) on crystalline DyCo2C2 at its relaxed geometry.

Results
DFT formation energy (meV per atom): -144
Energy (eV/atom): -7.5962

a = 3.3399 Å, b = 3.3399 Å, c = 5.5448 Å
α = 107.56°, β = 107.53°, γ = 90.00°
Last column: nearest neighbours and their distance in Å.
Positions (direct):
Dy (0.0000, 0.0000, 0.0000)  8 C 2.79, 8 Co 3.01
Co (0.7500, 0.2499, 0.5000)  4 C 1.96
Co (0.2500, 0.7501, 0.5000)  4 C 1.96
C (0.6482, 0.6479, 0.2963)  4 Co 1.96
C (0.3518, 0.3521, 0.7037)  4 Co 1.96

***

(19)
VASP calculation (PBE-GGA) on crystalline Pr2Er3Tl at its relaxed geometry.

Results
DFT formation energy (meV per atom): -94
Energy above the most stable polymorph in this dataset (meV/atom): 0
Energy (eV/atom): -4.3634

a = 5.1325 Å, b = 9.4972 Å, c = 9.4972 Å
α = 112.31°, β = 105.68°, γ = 105.68°
Last column: nearest neighbours and their distance in Å.
Positions (direct):
Pr (0.2500, 0.9244, 0.0756)  4 Pr 3.47-3.50, 8 Er 3.59-3.74
Pr (0.2500, 0.2234, 0.7766)  2 Pr 3.47, 8 Er 3.48-3.66, 2 Tl 3.72
Pr (0.7500, 0.0756, 0.9244)  4 Pr 3.47-3.50, 8 Er 3.59-3.74
Pr (0.7500, 0.7766, 0.2234)  2 Pr 3.47, 8 Er 3.48-3.66, 2 Tl 3.72
Er (0.0440, 0.2149, 0.3728)  3 Tl 3.22-3.48, 1 Pr 3.55, 2 Er 3.58
Er (0.5440, 0.3728, 0.2149)  3 Tl 3.22-3.48, 1 Pr 3.55, 2 Er 3.58
Er (0.0000, 0.5000, 0.0000)  2 Tl 3.25, 6 Pr 3.48-3.59
Er (0.9560, 0.7851, 0.6272)  3 Tl 3.22-3.48, 1 Pr 3.55, 2 Er 3.58
Er (0.5000, 0.0000, 0.5000)  2 Tl 3.25, 6 Pr 3.48-3.59
Er (0.4560, 0.6272, 0.7851)  3 Tl 3.22-3.48, 1 Pr 3.55, 2 Er 3.58
Tl (0.2500, 0.6055, 0.3944)  8 Er 3.22-3.48
Tl (0.7500, 0.3945, 0.6056)  8 Er 3.22-3.48

***

(20)
VASP calculation (PBE-GGA) on crystalline YFeTe2 at its relaxed geometry.

Results
Energy (eV/atom): -5.7975
Uncorrected formation energy (eV per atom): -0.49

a = 7.2127 Å, b = 7.2127 Å, c = 7.2127 Å
α = 149.35°, β = 147.82°, γ = 45.03°
Last column: nearest neighbours and their distance in Å.
Positions (direct):
Fe (0.2156, 0.7156, 0.5000)  6 Te 2.88-2.89
Te (0.0534, 0.0534, 0.0000)  2 Fe 2.88, 4 Y 3.08
Te (0.7801, 0.2801, 0.5000)  4 Fe 2.89, 2 Y 3.03
Y (0.4509, 0.4509, 0.0000)  6 Te 3.03-3.08